Cs2NiH12S2O14 | PBE with a Hubbard U | relaxed

Computed properties:
E_tot = -0.193 Ha/atom
Calculated density = 2.81 g cm⁻³

a b c (Å): 6.437 9.299 12.865
angles (deg): 90.00 90.00 106.26
Last column: magnetic moment on the atom in μB.
Atoms (fractional coordinates):
1 H 0.673 0.102 0.938  0.00
2 H 0.327 0.398 0.438  0.00
3 H 0.017 0.652 0.318  0.00
4 H 0.923 0.724 0.905  0.00
5 H 0.983 0.848 0.818  0.00
6 H 0.318 0.708 0.597  0.00
7 H 0.983 0.348 0.682  0.00
8 H 0.694 0.476 0.639  0.00
9 H 0.318 0.208 0.903  0.00
10 H 0.306 0.024 0.139  0.00
11 H 0.087 0.734 0.629  0.00
12 H 0.087 0.234 0.871  0.00
13 H 0.077 0.276 0.095  0.00
14 H 0.077 0.776 0.405  0.00
15 H 0.682 0.292 0.403  0.00
16 H 0.694 0.976 0.861  0.00
17 H 0.017 0.152 0.182  0.00
18 H 0.923 0.224 0.595  0.00
19 H 0.682 0.792 0.097  0.00
20 H 0.327 0.898 0.062  0.00
21 H 0.913 0.766 0.129  0.00
22 H 0.913 0.266 0.371  0.00
23 H 0.306 0.524 0.361  0.00
24 H 0.673 0.602 0.562  0.00
25 Cs 0.349 0.128 0.645  0.00
26 Cs 0.349 0.628 0.855  0.00
27 Cs 0.651 0.872 0.355  0.00
28 Cs 0.651 0.372 0.145  0.00
29 O 0.941 0.357 0.817  -0.01
30 O 0.798 0.032 0.581  -0.04
31 O 0.990 0.171 0.108  0.02
32 O 0.202 0.468 0.081  -0.04
33 O 0.612 0.918 0.739  -0.03
34 O 0.941 0.857 0.683  -0.01
35 O 0.388 0.082 0.261  -0.03
36 O 0.612 0.418 0.761  -0.03
37 O 0.838 0.342 0.389  0.03
38 O 0.397 0.233 0.416  -0.03
39 O 0.010 0.829 0.892  0.02
40 O 0.798 0.532 0.919  -0.04
41 O 0.289 0.494 0.435  0.03
42 O 0.990 0.671 0.392  0.02
43 O 0.289 0.994 0.065  0.03
44 O 0.162 0.158 0.889  0.03
45 O 0.603 0.767 0.584  -0.03
46 O 0.838 0.842 0.111  0.03
47 O 0.711 0.506 0.565  0.03
48 O 0.603 0.267 0.916  -0.03
49 O 0.388 0.582 0.239  -0.03
50 O 0.162 0.658 0.611  0.03
51 O 0.059 0.143 0.317  -0.01
52 O 0.711 0.006 0.935  0.03
53 O 0.010 0.329 0.608  0.02
54 O 0.202 0.968 0.419  -0.04
55 O 0.397 0.733 0.084  -0.03
56 O 0.059 0.643 0.183  -0.01
57 S 0.260 0.605 0.147  0.00
58 S 0.740 0.395 0.853  0.00
59 S 0.260 0.105 0.353  0.00
60 S 0.740 0.895 0.647  0.00
61 Ni 0.000 0.500 0.500  1.81
62 Ni 0.000 0.000 0.000  1.81